# Li3Dy3PaS8 (PBE, optimized geometry)
# **DOS at the Fermi energy**: 5.22 states/eV per cell
# **ρ**: 5.0 g/cm³
# **ΔE_f (raw)**: -171.1 kJ/mol of atoms
# **Symmetry**: R-3m
data_Li3Dy3PaS8
_chemical_formula_sum 'Li3 Dy3 Pa1 S8'
_space_group_name_H-M_alt 'P 1'
_space_group_IT_number 1
_space_group_name_Hall 'P 1'
_cell_length_a 7.6686
_cell_length_b 7.6686
_cell_length_c 7.6686
_cell_angle_alpha 61.99
_cell_angle_beta 61.99
_cell_angle_gamma 61.99
loop_
_atom_site_label
_atom_site_fract_x
_atom_site_fract_y
_atom_site_fract_z
Li1 0.0000 0.5000 0.5000
Li2 0.5000 0.0000 0.5000
Li3 0.5000 0.5000 0.0000
Dy1 0.0000 0.0000 0.5000
Dy2 0.0000 0.5000 0.0000
Dy3 0.5000 0.0000 0.0000
Pa1 0.5000 0.5000 0.5000
S1 0.2499 0.2499 0.2499
S2 0.2543 0.2543 0.7463
S3 0.2543 0.7463 0.2543
S4 0.2537 0.7457 0.7457
S5 0.7463 0.2543 0.2543
S6 0.7457 0.2537 0.7457
S7 0.7457 0.7457 0.2537
S8 0.7501 0.7501 0.7501



# AlCr2Se (PBE, optimized geometry)
# **DOS at the Fermi energy**: 3.35 states/eV per cell
# **ρ**: 6.1 g/cm³
# **Excess energy over the best structure of this formula in the dataset**: 224.6 meV per atom
# **ΔE_f (raw)**: 22.1 kJ/mol of atoms
# **Symmetry**: R-3m
data_AlCr2Se
_chemical_formula_sum 'Al1 Cr2 Se1'
_space_group_name_H-M_alt 'P 1'
_space_group_IT_number 1
_space_group_name_Hall 'P 1'
_cell_length_a 7.9747
_cell_length_b 7.9747
_cell_length_c 7.9747
_cell_angle_alpha 20.98
_cell_angle_beta 20.98
_cell_angle_gamma 20.98
loop_
_atom_site_label
_atom_site_fract_x
_atom_site_fract_y
_atom_site_fract_z
Al1 0.0000 0.0000 0.0000
Cr1 0.2441 0.2441 0.2441
Cr2 0.7559 0.7559 0.7559
Se1 0.5000 0.5000 0.5000